1.
SCAN Ta5Hg, PBEsol geometry; VASP energy = -66.7481 eV/atom; calculated density = 17.16 g/cm3; size of the total moment = 0.0000 μB/atom; E_form = 0.10 eV/atom
1.0
3.480 0.000 0.000
0.000 4.579 0.000
-1.740 0.000 6.714
Ta Hg
5 1
direct
0.666 0.500 0.332
0.831 0.000 0.662
0.000 0.500 0.000
0.334 0.500 0.668
0.169 0.000 0.338
0.500 0.000 0.000

2.
SCAN Ta3Hg, PBEsol geometry; VASP energy = -66.7874 eV/atom; calculated density = 17.07 g/cm3; size of the total moment = 0.0000 μB/atom; E_form = 0.19 eV/atom
1.0
-1.065 -0.447 -2.565
3.620 -2.829 -1.010
-2.444 -4.125 2.795
Hg Ta
1 3
direct
0.000 0.000 0.000
0.739 0.500 0.266
0.261 0.500 0.734
0.500 0.000 0.500

Please write out number 2 again, unchanged.
SCAN Ta3Hg, PBEsol geometry; VASP energy = -66.7874 eV/atom; calculated density = 17.07 g/cm3; size of the total moment = 0.0000 μB/atom; E_form = 0.19 eV/atom
1.0
-1.065 -0.447 -2.565
3.620 -2.829 -1.010
-2.444 -4.125 2.795
Hg Ta
1 3
direct
0.000 0.000 0.000
0.739 0.500 0.266
0.261 0.500 0.734
0.500 0.000 0.500